# 1
This record from Alexandria via LeMat-Bulk describes a relaxed Cs6Au2F crystal. The functional is PBE.

## Properties
The value obtained for the size of the total moment is 0.0000 μB/atom. The calculated total energy comes out at -39.75 eV per cell. As for the polymorph energy (0 for the lowest one): 6 meV per atom. The uncorrected formation energy is -0.703 eV/atom.

Cell: 8.7006 8.5088 16.9749 Å, 90.00 120.63 90.00°
Last column: nearest neighbours and their distance in Å.
Space group P2_1/c (No. 14)
Inequivalent atoms, fractional coordinates:
Cs  0.0079  0.2109  0.1526 [4 per cell]  1 F 3.12
Cs  0.2933  0.7203  0.6492 [4 per cell]  1 F 3.14
Cs  0.3132  0.2202  0.0015 [4 per cell]  1 F 3.30, 2 Au 3.63-3.64
Au  0.3207  0.0037  0.8188 [4 per cell]  6 Cs 3.62-3.67
F  0.0000  0.0000  0.0000 [2 per cell]  6 Cs 3.12-3.30


# 2
This record from Alexandria via LeMat-Bulk describes a relaxed Cs8Au5F crystal. The functional is PBE.

## Properties
The value obtained for the size of the total moment is 0.0085 μB/atom. The calculated total energy comes out at -66.26 eV per cell. As for the polymorph energy (0 for the lowest one): 3 meV per atom. The uncorrected formation energy is -0.575 eV/atom.

Cell: 12.4199 12.4199 10.2596 Å, 90.00 90.00 90.00°
Last column: nearest neighbours and their distance in Å.
Space group I-4 (No. 82)
Inequivalent atoms, fractional coordinates:
Cs  0.0374  0.2477  0.3953 [8 per cell]  4 Au 3.50-3.75
Cs  0.0425  0.2207  0.9199 [8 per cell]  1 F 2.91
Au  0.0000  0.5000  0.2500 [2 per cell]  4 Cs 3.50
Au  0.2360  0.2606  0.6620 [8 per cell]  6 Cs 3.61-3.75
F  0.0000  0.0000  0.0000 [2 per cell]  4 Cs 2.91